## Ti3In (PBE-GGA)

Data for a relaxed Ti3In crystal.

The calculation puts the total magnetization at 0.0 μB per formula unit. The value obtained for the formation energy is -0.5 eV per formula unit.

Cell lengths 4.066, 4.066, 8.758 Å; angles 90.00, 90.00, 90.00 degrees
Space group I4/mmm (No. 139)
Asymmetric unit:
Ti: 0.000 0.000 0.000
Ti: 0.000 0.500 0.250
In: 0.000 0.000 0.500



## La6TlTc2 (PBE-GGA)

Data for a relaxed La6TlTc2 crystal.

The calculation puts the total magnetization at 0.0 μB per formula unit. The value obtained for the formation energy is -1.2 eV per formula unit.

Cell lengths 9.904, 10.131, 10.819 Å; angles 90.00, 90.00, 90.00 degrees
Space group Immm (No. 71)
Asymmetric unit:
La: 0.000 0.210 0.234
La: 0.186 0.500 0.171
La: 0.214 0.312 0.500
Tl: 0.000 0.000 0.000
Tl: 0.000 0.000 0.500
Tc: 0.000 0.327 0.000
Tc: 0.000 0.500 0.386



## HoMgBeAu (PBE-GGA)

Data for a relaxed HoMgBeAu crystal.

The calculation puts the total magnetization at 0.0 μB per formula unit. The value obtained for the formation energy is -1.3 eV per formula unit.

Cell lengths 6.726, 6.726, 6.726 Å; angles 90.00, 90.00, 90.00 degrees
Space group F-43m (No. 216)
Asymmetric unit:
Ho: 0.000 0.000 0.000
Mg: 0.000 0.000 0.500
Be: 0.250 0.250 0.250
Au: 0.250 0.250 0.750



## K2SbRu (PBE-GGA)

Data for a relaxed K2SbRu crystal.

The calculation puts the total magnetization at 0.0 μB per formula unit. As for the formation energy without anion corrections: 0.25 eV per atom.

Cell lengths 4.154, 5.873, 10.994 Å; angles 90.00, 90.00, 90.00 degrees
Space group Imm2 (No. 44)
Asymmetric unit:
K: 0.000 0.000 0.000
K: 0.000 0.500 0.200
Sb: 0.000 0.500 0.783
Ru: 0.000 0.000 0.409